A plane-wave DFT calculation with PBEsol was carried out for a relaxed DyGePd2 crystal.

Unit cell a=7.297 b=7.017 c=5.512 alpha=90.00 beta=90.00 gamma=90.00
Fractional coordinates of all 16 atoms:
Dy 0.029 0.250 0.144
Dy 0.471 0.750 0.644
Dy 0.529 0.250 0.356
Dy 0.971 0.750 0.856
Ge 0.119 0.750 0.356
Ge 0.381 0.250 0.856
Ge 0.619 0.750 0.144
Ge 0.881 0.250 0.644
Pd 0.182 0.052 0.588
Pd 0.182 0.448 0.588
Pd 0.318 0.552 0.088
Pd 0.318 0.948 0.088
Pd 0.682 0.052 0.912
Pd 0.682 0.448 0.912
Pd 0.818 0.552 0.412
Pd 0.818 0.948 0.412

The value obtained for the total energy is -6.41 eV/atom. As for the space group: Pnma. Its magnetic moment is 0.0 μB per formula unit.


A plane-wave DFT calculation with PBEsol was carried out for a relaxed DyGePt crystal.

Unit cell a=6.930 b=4.331 c=7.514 alpha=90.00 beta=90.00 gamma=90.00
Fractional coordinates of all 12 atoms:
Dy 0.003 0.250 0.203
Dy 0.497 0.750 0.703
Dy 0.503 0.250 0.297
Dy 0.997 0.750 0.797
Ge 0.189 0.250 0.588
Ge 0.311 0.750 0.088
Ge 0.689 0.250 0.912
Ge 0.811 0.750 0.412
Pt 0.204 0.750 0.416
Pt 0.296 0.250 0.916
Pt 0.704 0.750 0.084
Pt 0.796 0.250 0.584

The value obtained for the total energy is -6.80 eV/atom. As for the space group: Pnma. Its magnetic moment is 0.0 μB per formula unit.


A plane-wave DFT calculation with PBEsol was carried out for a relaxed DyGe2Pt crystal.

Unit cell a=9.445 b=9.445 c=9.445 alpha=153.79 beta=125.43 gamma=61.52
Fractional coordinates of all 16 atoms:
Dy 0.202 0.202 0.000
Dy 0.235 0.000 0.235
Dy 0.765 0.000 0.765
Dy 0.798 0.798 0.000
Ge 0.074 0.574 0.500
Ge 0.150 0.800 0.350
Ge 0.426 0.426 0.000
Ge 0.450 0.800 0.650
Ge 0.550 0.200 0.350
Ge 0.574 0.574 0.000
Ge 0.850 0.200 0.650
Ge 0.926 0.426 0.500
Pt 0.103 0.352 0.751
Pt 0.398 0.648 0.751
Pt 0.602 0.352 0.249
Pt 0.897 0.648 0.249

The value obtained for the total energy is -6.38 eV/atom. As for the space group: Immm. Its magnetic moment is 0.0 μB per formula unit.


A plane-wave DFT calculation with PBEsol was carried out for a relaxed Dy2Ge5Rh3 crystal.

Unit cell a=8.231 b=8.231 c=5.785 alpha=108.79 beta=108.79 gamma=94.27
Fractional coordinates of all 20 atoms:
Dy 0.092 0.370 0.237
Dy 0.370 0.092 0.737
Dy 0.630 0.908 0.263
Dy 0.908 0.630 0.763
Ge 0.013 0.987 0.750
Ge 0.234 0.424 0.830
Ge 0.278 0.722 0.750
Ge 0.294 0.706 0.250
Ge 0.424 0.234 0.330
Ge 0.576 0.766 0.670
Ge 0.706 0.294 0.750
Ge 0.722 0.278 0.250
Ge 0.766 0.576 0.170
Ge 0.987 0.013 0.250
Rh 0.047 0.762 0.375
Rh 0.238 0.953 0.125
Rh 0.499 0.501 0.250
Rh 0.501 0.499 0.750
Rh 0.762 0.047 0.875
Rh 0.953 0.238 0.625

The value obtained for the total energy is -6.75 eV/atom. As for the space group: C2/c. Its magnetic moment is 0.0 μB per formula unit.


A plane-wave DFT calculation with PBEsol was carried out for a relaxed Dy3Ge13Ru4 crystal.

Unit cell a=8.910 b=8.910 c=8.910 alpha=90.00 beta=90.00 gamma=90.00
Fractional coordinates of all 40 atoms:
Dy 0.000 0.250 0.500
Dy 0.000 0.750 0.500
Dy 0.250 0.500 0.000
Dy 0.500 0.000 0.250
Dy 0.500 0.000 0.750
Dy 0.750 0.500 0.000
Ge 0.000 0.000 0.000
Ge 0.000 0.302 0.147
Ge 0.000 0.302 0.853
Ge 0.000 0.698 0.147
Ge 0.000 0.698 0.853
Ge 0.147 0.000 0.302
Ge 0.147 0.000 0.698
Ge 0.198 0.500 0.353
Ge 0.198 0.500 0.647
Ge 0.302 0.147 0.000
Ge 0.302 0.853 0.000
Ge 0.353 0.198 0.500
Ge 0.353 0.802 0.500
Ge 0.500 0.353 0.198
Ge 0.500 0.353 0.802
Ge 0.500 0.500 0.500
Ge 0.500 0.647 0.198
Ge 0.500 0.647 0.802
Ge 0.647 0.198 0.500
Ge 0.647 0.802 0.500
Ge 0.698 0.147 0.000
Ge 0.698 0.853 0.000
Ge 0.802 0.500 0.353
Ge 0.802 0.500 0.647
Ge 0.853 0.000 0.302
Ge 0.853 0.000 0.698
Ru 0.250 0.250 0.250
Ru 0.250 0.250 0.750
Ru 0.250 0.750 0.250
Ru 0.250 0.750 0.750
Ru 0.750 0.250 0.250
Ru 0.750 0.250 0.750
Ru 0.750 0.750 0.250
Ru 0.750 0.750 0.750

The value obtained for the total energy is -6.48 eV/atom. As for the space group: Pm-3n. Its magnetic moment is 0.0 μB per formula unit.


A plane-wave DFT calculation with PBEsol was carried out for a relaxed Dy4Zn5Ge6 crystal.

Unit cell a=9.362 b=9.362 c=15.057 alpha=90.00 beta=90.00 gamma=154.23
Fractional coordinates of all 30 atoms:
Dy 0.020 0.980 0.500
Dy 0.033 0.967 0.236
Dy 0.168 0.832 0.696
Dy 0.176 0.824 0.054
Dy 0.824 0.176 0.554
Dy 0.832 0.168 0.196
Dy 0.967 0.033 0.736
Dy 0.980 0.020 0.000
Zn 0.151 0.849 0.372
Zn 0.301 0.699 0.375
Zn 0.345 0.655 0.724
Zn 0.350 0.650 0.018
Zn 0.434 0.566 0.313
Zn 0.566 0.434 0.813
Zn 0.650 0.350 0.518
Zn 0.655 0.345 0.224
Zn 0.699 0.301 0.875
Zn 0.849 0.151 0.872
Ge 0.111 0.889 0.882
Ge 0.222 0.778 0.513
Ge 0.227 0.773 0.234
Ge 0.431 0.569 0.591
Ge 0.433 0.567 0.869
Ge 0.440 0.560 0.144
Ge 0.560 0.440 0.644
Ge 0.567 0.433 0.369
Ge 0.569 0.431 0.091
Ge 0.773 0.227 0.734
Ge 0.778 0.222 0.013
Ge 0.889 0.111 0.382

The value obtained for the total energy is -4.43 eV/atom. As for the space group: Cmc2_1. Its magnetic moment is 0.0 μB per formula unit.


> Which formula does entry 2 have?

DyGePt